A relaxed structure of PrInBi2, computed with GGA-PBE.

Mass density: 9.20 g/cm3
Calculated total energy: -33.947 eV for the cell shown
E_form: -0.423 eV/atom

a = 5.9568 Å, b = 6.6913 Å, c = 6.1042 Å
α = 90.00°, β = 90.00°, γ = 90.00°
Closest atoms and distances in Å follow each position.
Space group Pmmn (No. 59, origin choice 2)
One atom of each set of equivalent atoms:
Pr1 0.2500 0.2500 0.1522 [2 per cell]  4 In 3.35-3.54, 8 Bi 3.43-3.57
In1 0.2500 0.7500 0.1625 [2 per cell]  4 Pr 3.35-3.54, 8 Bi 3.45-3.60
Bi1 0.2500 0.5064 0.6646 [4 per cell]  4 Bi 3.26-3.59, 4 Pr 3.43-3.57, 4 In 3.45-3.60

A relaxed structure of PrInBi, computed with GGA-PBE.

Mass density: 8.27 g/cm3
Calculated total energy: -51.418 eV for the cell shown
E_form: -0.485 eV/atom

a = 4.1786 Å, b = 18.9944 Å, c = 4.7039 Å
α = 90.00°, β = 90.00°, γ = 90.00°
Closest atoms and distances in Å follow each position.
Space group Cmcm (No. 63)
One atom of each set of equivalent atoms:
Pr1 0.0000 0.1162 0.2500 [4 per cell]  5 Bi 3.45-3.66, 6 In 3.47-3.60
In1 0.0000 0.4615 0.2500 [4 per cell]  2 In 2.77, 1 Bi 2.90
Bi1 0.0000 0.3091 0.2500 [4 per cell]  1 In 2.90

A relaxed structure of Pr2InBi, computed with GGA-PBE.

Mass density: 7.49 g/cm3
Calculated total energy: -49.618 eV for the cell shown
E_form: -0.090 eV/atom

a = 3.5651 Å, b = 3.5651 Å, c = 36.5968 Å
α = 90.00°, β = 90.00°, γ = 120.00°
Closest atoms and distances in Å follow each position.
Space group R-3m (No. 166, hexagonal axes)
One atom of each set of equivalent atoms:
Pr1 0.0000 0.0000 0.0902 [6 per cell]  1 In 3.30, 3 Bi 3.47, 6 Pr 3.57
In1 0.0000 0.0000 0.0000 [3 per cell]  2 Pr 3.30, 6 In 3.57
Bi1 0.0000 0.0000 0.5000 [3 per cell]  6 Pr 3.47, 6 Bi 3.57